(1)
# Pm8FeBi2

A geometry-optimized Pm8FeBi2 structure (PBE, the Alexandria database).

Lattice parameters (Å, degrees): 9.619 9.619 6.828 107.90 107.90 33.49
Fractional coordinates of all 11 atoms:
Pm1 0.005 0.005 0.233
Pm2 0.215 0.215 0.131
Pm3 0.363 0.363 0.693
Pm4 0.413 0.413 0.245
Pm5 0.587 0.587 0.755
Pm6 0.637 0.637 0.307
Pm7 0.785 0.785 0.869
Pm8 0.995 0.995 0.767
Fe1 0.500 0.500 0.000
Bi1 0.170 0.170 0.622
Bi2 0.830 0.830 0.378

Summary:
**Calculated formation energy**: -2.58 eV/f.u.
**Magnetization**: 0.01 μB per formula unit

(2)
# Pm2FeBi

A geometry-optimized Pm2FeBi structure (PBE, the Alexandria database).

Lattice parameters (Å, degrees): 10.413 10.413 10.413 20.20 20.20 20.20
Fractional coordinates of all 4 atoms:
Pm1 0.108 0.108 0.108
Pm2 0.892 0.892 0.892
Fe1 0.500 0.500 0.500
Bi1 0.000 0.000 0.000

Summary:
**Calculated formation energy**: 0.71 eV/f.u.
**Energy above the most stable polymorph in this dataset**: 318.2 meV per atom
**Magnetization**: 0.88 μB per formula unit

(3)
# Pr6Fe13Bi

A geometry-optimized Pr6Fe13Bi structure (PBE, the Alexandria database).

Lattice parameters (Å, degrees): 13.222 13.222 13.222 144.37 144.37 51.27
Fractional coordinates of all 40 atoms:
Pr1 0.021 0.521 0.177
Pr2 0.103 0.103 0.000
Pr3 0.156 0.979 0.500
Pr4 0.344 0.844 0.823
Pr5 0.397 0.397 0.000
Pr6 0.479 0.656 0.500
Pr7 0.521 0.344 0.500
Pr8 0.603 0.603 0.000
Pr9 0.656 0.156 0.177
Pr10 0.844 0.021 0.500
Pr11 0.897 0.897 0.000
Pr12 0.979 0.479 0.823
Fe1 0.000 0.500 0.500
Fe2 0.022 0.295 0.500
Fe3 0.067 0.210 0.277
Fe4 0.121 0.621 0.857
Fe5 0.205 0.478 0.500
Fe6 0.210 0.933 0.143
Fe7 0.236 0.736 0.857
Fe8 0.264 0.121 0.500
Fe9 0.290 0.433 0.723
Fe10 0.295 0.795 0.273
Fe11 0.379 0.236 0.500
Fe12 0.433 0.710 0.143
Fe13 0.478 0.978 0.273
Fe14 0.500 0.000 0.500
Fe15 0.522 0.022 0.727
Fe16 0.567 0.290 0.857
Fe17 0.621 0.764 0.500
Fe18 0.705 0.205 0.727
Fe19 0.710 0.567 0.277
Fe20 0.736 0.879 0.500
Fe21 0.764 0.264 0.143
Fe22 0.790 0.067 0.857
Fe23 0.795 0.522 0.500
Fe24 0.879 0.379 0.143
Fe25 0.933 0.790 0.723
Fe26 0.978 0.705 0.500
Bi1 0.250 0.250 0.000
Bi2 0.750 0.750 0.000

Summary:
**Calculated formation energy**: -1.71 eV/f.u.
**Magnetization**: 26.35 μB per formula unit

(4)
# Pr3FeBi

A geometry-optimized Pr3FeBi structure (PBE, the Alexandria database).

Lattice parameters (Å, degrees): 5.296 5.296 5.296 90.00 90.00 90.00
Fractional coordinates of all 5 atoms:
Pr1 0.000 0.000 0.500
Pr2 0.000 0.500 0.000
Pr3 0.500 0.000 0.000
Fe1 0.000 0.000 0.000
Bi1 0.500 0.500 0.500

Summary:
**Calculated formation energy**: -1.07 eV/f.u.
**Magnetization**: 0.00 μB per formula unit

(5)
# Fe3BiPt

A geometry-optimized Fe3BiPt structure (PBE, the Alexandria database).

Lattice parameters (Å, degrees): 4.733 4.733 4.733 90.00 90.00 90.00
Fractional coordinates of all 5 atoms:
Fe1 0.000 0.000 0.500
Fe2 0.000 0.500 0.000
Fe3 0.500 0.000 0.000
Bi1 0.500 0.500 0.500
Pt1 0.000 0.000 0.000

Summary:
**Calculated formation energy**: 4.25 eV/f.u.
**Energy above the most stable polymorph in this dataset**: 0.0 meV per atom
**Magnetization**: 9.84 μB per formula unit

(6)
# FeBi2Pt

A geometry-optimized FeBi2Pt structure (PBE, the Alexandria database).

Lattice parameters (Å, degrees): 9.261 9.261 9.261 150.46 150.46 42.27
Fractional coordinates of all 8 atoms:
Fe1 0.000 0.000 0.000
Fe2 0.750 0.250 0.500
Bi1 0.114 0.625 0.989
Bi2 0.375 0.364 0.489
Bi3 0.636 0.125 0.011
Bi4 0.875 0.886 0.511
Pt1 0.250 0.750 0.500
Pt2 0.500 0.500 0.000

Summary:
**Calculated formation energy**: 1.60 eV/f.u.
**Energy above the most stable polymorph in this dataset**: 110.8 meV per atom
**Magnetization**: 2.56 μB per formula unit

Which of these has the lowest magnetization? Pr3FeBi

Which of these has the highest calculated formation energy? Fe3BiPt

What did the third record say?
# Pr6Fe13Bi

A geometry-optimized Pr6Fe13Bi structure (PBE, the Alexandria database).

Lattice parameters (Å, degrees): 13.222 13.222 13.222 144.37 144.37 51.27
Fractional coordinates of all 40 atoms:
Pr1 0.021 0.521 0.177
Pr2 0.103 0.103 0.000
Pr3 0.156 0.979 0.500
Pr4 0.344 0.844 0.823
Pr5 0.397 0.397 0.000
Pr6 0.479 0.656 0.500
Pr7 0.521 0.344 0.500
Pr8 0.603 0.603 0.000
Pr9 0.656 0.156 0.177
Pr10 0.844 0.021 0.500
Pr11 0.897 0.897 0.000
Pr12 0.979 0.479 0.823
Fe1 0.000 0.500 0.500
Fe2 0.022 0.295 0.500
Fe3 0.067 0.210 0.277
Fe4 0.121 0.621 0.857
Fe5 0.205 0.478 0.500
Fe6 0.210 0.933 0.143
Fe7 0.236 0.736 0.857
Fe8 0.264 0.121 0.500
Fe9 0.290 0.433 0.723
Fe10 0.295 0.795 0.273
Fe11 0.379 0.236 0.500
Fe12 0.433 0.710 0.143
Fe13 0.478 0.978 0.273
Fe14 0.500 0.000 0.500
Fe15 0.522 0.022 0.727
Fe16 0.567 0.290 0.857
Fe17 0.621 0.764 0.500
Fe18 0.705 0.205 0.727
Fe19 0.710 0.567 0.277
Fe20 0.736 0.879 0.500
Fe21 0.764 0.264 0.143
Fe22 0.790 0.067 0.857
Fe23 0.795 0.522 0.500
Fe24 0.879 0.379 0.143
Fe25 0.933 0.790 0.723
Fe26 0.978 0.705 0.500
Bi1 0.250 0.250 0.000
Bi2 0.750 0.750 0.000

Summary:
**Calculated formation energy**: -1.71 eV/f.u.
**Magnetization**: 26.35 μB per formula unit

Among the records above, which one has the lowest calculated formation energy? Pm8FeBi2